This record from Alexandria via LeMat-Bulk describes a relaxed structure of LaNdZn. The functional is GGA-PBE.

The space group is P3m1 (No. 156) and the conventional cell measures 5.0843, 5.0843 and 3.8016 Å, with angles of 90.00, 90.00 and 120.00 degrees. The inequivalent atoms are La at (0.0000, 0.0000, 0.0000), Nd at (0.6667, 0.3333, 0.5945) and Zn at (0.3333, 0.6667, 0.3295).

For the density of states at the Fermi level, the calculation gives 3.73 states/eV/f.u. The energy of formation from the pure elements is -0.08 eV/atom. The total energy is -3.732 eV/atom. The spin magnetization comes out at 0.00 μB/cell.